VASP calculation (GGA-PBE) on crystalline La4PrY2Mg at its relaxed geometry.

Cell lengths 9.6515, 9.6515, 9.6515 Å; angles 138.02, 103.06, 91.76 degrees
Fractional positions:
La (0.2570, 0.2472, 0.4902)
La (0.2570, 0.7667, 0.0098)
La (0.2578, 0.2469, 0.0109)
La (0.2640, 0.7531, 0.5109)
La (0.7360, 0.2469, 0.4891)
La (0.7422, 0.7531, 0.9891)
La (0.7430, 0.2333, 0.9902)
La (0.7430, 0.7528, 0.5098)
Pr (0.0000, 0.0000, 0.0000)
Pr (0.5000, 0.0000, 0.5000)
Y (0.0000, 0.0000, 0.5000)
Y (0.0000, 0.5000, 0.0000)
Y (0.0000, 0.5000, 0.5000)
Y (0.5000, 0.5000, 0.0000)
Mg (0.5000, 0.0000, 0.0000)
Mg (0.5000, 0.5000, 0.5000)

Calculated values
Energy of formation in eV/atom: 0.291
DOS(E_F) in states/eV/f.u.: 14.25